1.
A geometry-optimized Co2MoP2 structure. Source: Alexandria, functional PBE-GGA.

Cell and atoms, written as extended XYZ:
```
10
Lattice="-2.709 -1.317 5.883 -2.281 -5.746 -2.337 2.259 -1.210 0.770" Properties=species:S:1:pos:R:3 pbc="T T T"
P -2.869 -5.319 0.060
P -3.784 -4.871 3.451
P -2.122 -1.744 3.487
P -1.207 -2.192 0.095
Mo 0.000 0.000 0.000
Mo -2.495 -3.532 1.773
Co -0.705 -4.461 -0.290
Co -2.566 -6.394 2.133
Co -2.026 -3.813 4.606
Co -0.166 -1.879 2.183
```

Energy of formation from the pure elements ... -335.4 meV per atom
Total magnetization ... 0.00 μB per formula unit


2.
A geometry-optimized Nd2LuPd structure. Source: Alexandria, functional PBE-GGA.

Cell and atoms, written as extended XYZ:
```
4
Lattice="3.717 0.000 0.000 0.000 3.717 0.000 0.000 0.000 8.178" Properties=species:S:1:pos:R:3 pbc="T T T"
Lu 1.859 1.859 4.089
Nd 0.000 0.000 6.465
Nd 0.000 0.000 1.712
Pd 1.859 1.859 0.000
```

Energy of formation from the pure elements ... -314.6 meV per atom
Total magnetization ... 0.00 μB per formula unit